1) Ca2ScCd2: relaxed, PBE.

Cell and atoms, written as POSCAR:
```
Ca2ScCd2
1.0
-5.712 3.909 3.669
1.817 -3.632 6.699
3.075 3.496 1.062
Cd Ca Sc
4 4 2
Direct
0.132 0.368 0.000 Cd
0.368 0.868 0.000 Cd
0.632 0.132 0.000 Cd
0.868 0.632 0.000 Cd
0.672 0.828 0.500 Ca
0.328 0.172 0.500 Ca
0.172 0.672 0.500 Ca
0.828 0.328 0.500 Ca
0.500 0.500 0.000 Sc
0.000 0.000 0.000 Sc
```

Calculated values
**Total magnetic moment**: 0.000 μB/f.u.

---

2) Ca2ScCd2: relaxed, PBE.

Cell and atoms, written as POSCAR:
```
Ca2ScCd2
1.0
-2.629 -3.637 -1.194
3.799 -2.301 -1.354
1.288 -5.586 5.148
Cd Ca Sc
2 2 1
Direct
0.596 0.596 0.807 Cd
0.404 0.404 0.193 Cd
0.750 0.250 0.500 Ca
0.250 0.750 0.500 Ca
0.000 0.000 0.000 Sc
```

Calculated values
**Total magnetic moment**: 0.798 μB/f.u.

---

3) Ca2ScCd2: relaxed, PBE.

Cell and atoms, written as POSCAR:
```
Ca2ScCd2
1.0
-7.325 -1.328 4.946
-3.942 -4.049 -6.925
1.267 -3.045 1.059
Sc Ca Cd
2 4 4
Direct
0.000 0.000 0.000 Sc
0.500 0.500 0.000 Sc
0.139 0.361 0.000 Ca
0.361 0.861 0.000 Ca
0.639 0.139 0.000 Ca
0.861 0.639 0.000 Ca
0.159 0.659 0.500 Cd
0.841 0.341 0.500 Cd
0.341 0.159 0.500 Cd
0.659 0.841 0.500 Cd
```

Calculated values
**Total magnetic moment**: 0.317 μB/f.u.

---

Structures ranked by computed energy, the most stable listed first: 1), 3), 2).

---

1) CaSc2Cd2: relaxed, PBE.

Cell and atoms, written as POSCAR:
```
CaSc2Cd2
1.0
-0.301 -6.724 -5.114
8.405 -0.755 0.498
-0.360 -2.141 2.836
Sc Cd Ca
4 4 2
Direct
0.664 0.836 0.500 Sc
0.836 0.336 0.500 Sc
0.336 0.164 0.500 Sc
0.164 0.664 0.500 Sc
0.632 0.132 0.000 Cd
0.132 0.368 0.000 Cd
0.368 0.868 0.000 Cd
0.868 0.632 0.000 Cd
0.000 0.000 0.000 Ca
0.500 0.500 0.000 Ca
```

Calculated values
**Total magnetic moment**: 0.000 μB/f.u.

---

2) CaSc2Cd2: relaxed, PBE.

Cell and atoms, written as POSCAR:
```
CaSc2Cd2
1.0
-1.169 4.789 -7.170
5.484 -5.170 -4.348
-2.523 -1.935 -0.881
Ca Cd Sc
2 4 4
Direct
0.500 0.500 0.000 Ca
0.000 0.000 0.000 Ca
0.674 0.826 0.500 Cd
0.174 0.674 0.500 Cd
0.826 0.326 0.500 Cd
0.326 0.174 0.500 Cd
0.123 0.377 0.000 Sc
0.623 0.123 0.000 Sc
0.377 0.877 0.000 Sc
0.877 0.623 0.000 Sc
```

Calculated values
**Total magnetic moment**: 0.006 μB/f.u.

---

Structures ranked by computed energy, the most stable listed first: 2), 1).

---

1) CaScCd: relaxed, PBE.

Cell and atoms, written as POSCAR:
```
CaScCd
1.0
-1.970 2.746 1.285
-3.003 -1.561 -1.270
1.008 -6.941 11.294
Ca Sc Cd
2 2 2
Direct
0.430 0.430 0.861 Ca
0.570 0.570 0.139 Ca
0.713 0.713 0.426 Sc
0.287 0.287 0.574 Sc
0.150 0.150 0.300 Cd
0.850 0.850 0.700 Cd
```

Calculated values
**Total magnetic moment**: 0.482 μB/f.u.

---

2) CaScCd: relaxed, PBE.

Cell and atoms, written as POSCAR:
```
CaScCd
1.0
-3.530 2.242 3.031
-1.044 -0.852 -4.985
-1.344 -3.247 0.837
Ca Sc Cd
1 1 1
Direct
0.000 0.000 0.020 Ca
0.667 0.333 0.562 Sc
0.333 0.667 0.418 Cd
```

Calculated values
**Total magnetic moment**: 0.000 μB/f.u.

---

Structures ranked by computed energy, the most stable listed first: 1), 2).

---

1) CaScZnCd: relaxed, PBE.

Cell and atoms, written as POSCAR:
```
CaScZnCd
1.0
3.574 0.000 0.000
0.000 3.574 0.000
0.000 0.000 7.244
Sc Cd Zn Ca
1 1 1 1
Direct
0.500 0.500 0.340 Sc
0.000 0.000 0.102 Cd
0.000 0.000 0.535 Zn
0.500 0.500 0.808 Ca
```

Calculated values
**Total magnetic moment**: 0.000 μB/f.u.

---

2) CaScZnCd: relaxed, PBE.

Cell and atoms, written as POSCAR:
```
CaScZnCd
1.0
5.085 0.000 0.000
2.542 4.404 0.000
2.542 1.468 4.152
Cd Zn Ca Sc
1 1 1 1
Direct
0.250 0.250 0.250 Cd
0.750 0.750 0.750 Zn
0.500 0.500 0.500 Ca
0.000 0.000 0.000 Sc
```

Calculated values
**Total magnetic moment**: 0.000 μB/f.u.

---

Structures ranked by computed energy, the most stable listed first: 1), 2).

---

1) CaCd3Si: relaxed, PBE.

Cell and atoms, written as POSCAR:
```
CaCd3Si
1.0
5.212 0.000 0.000
0.000 5.212 0.000
0.000 0.000 5.212
Cd Si Ca
3 1 1
Direct
0.000 0.000 0.500 Cd
0.000 0.500 0.000 Cd
0.500 0.000 0.000 Cd
0.000 0.000 0.000 Si
0.500 0.500 0.500 Ca
```

Calculated values
**Total magnetic moment**: 0.000 μB/f.u.

---

2) CaCd3Si: relaxed, PBE.

Cell and atoms, written as POSCAR:
```
CaCd3Si
1.0
-5.135 2.361 -1.082
-2.591 -4.819 1.782
-0.175 2.078 5.363
Ca Cd Si
1 3 1
Direct
0.000 0.000 0.000 Ca
0.000 0.000 0.500 Cd
0.000 0.500 0.000 Cd
0.500 0.000 0.000 Cd
0.500 0.500 0.500 Si
```

Calculated values
**Total magnetic moment**: 0.000 μB/f.u.

---

Structures ranked by computed energy, the most stable listed first: 1), 2).

---

1) Ca2Cd2Si: relaxed, PBE.

Cell and atoms, written as POSCAR:
```
Ca2Cd2Si
1.0
7.311 0.000 0.000
0.000 7.311 0.000
0.000 0.000 4.868
Si Cd Ca
2 4 4
Direct
0.500 0.500 0.000 Si
0.000 0.000 0.000 Si
0.135 0.365 0.000 Cd
0.365 0.865 0.000 Cd
0.865 0.635 0.000 Cd
0.635 0.135 0.000 Cd
0.823 0.323 0.500 Ca
0.323 0.177 0.500 Ca
0.677 0.823 0.500 Ca
0.177 0.677 0.500 Ca
```

Calculated values
**Total magnetic moment**: 0.000 μB/f.u.

---

2) Ca2Cd2Si: relaxed, PBE.

Cell and atoms, written as POSCAR:
```
Ca2Cd2Si
1.0
3.890 0.000 0.000
0.000 3.890 0.000
1.945 1.945 9.334
Ca Cd Si
2 2 1
Direct
0.410 0.410 0.179 Ca
0.590 0.590 0.821 Ca
0.750 0.250 0.500 Cd
0.250 0.750 0.500 Cd
0.000 0.000 0.000 Si
```

Calculated values
**Total magnetic moment**: 0.000 μB/f.u.

---

Structures ranked by computed energy, the most stable listed first: 1), 2).

---

1) CaSmCd: relaxed, PBE.

Cell and atoms, written as POSCAR:
```
CaSmCd
1.0
3.653 0.000 0.000
0.000 5.400 0.000
0.000 -2.700 4.676
Cd Ca Sm
1 1 1
Direct
0.644 0.667 0.333 Cd
0.399 0.333 0.667 Ca
0.958 0.000 0.000 Sm
```

Calculated values
**Total magnetic moment**: 0.000 μB/f.u.

---

2) CaSmCd: relaxed, PBE.

Cell and atoms, written as POSCAR:
```
CaSmCd
1.0
4.783 -0.576 -0.003
0.575 4.782 -0.003
0.001 0.000 8.454
Sm Cd Ca
2 2 2
Direct
0.481 0.993 0.879 Sm
0.981 0.493 0.879 Sm
0.981 0.993 0.135 Cd
0.480 0.493 0.622 Cd
0.481 0.493 0.236 Ca
0.980 0.993 0.521 Ca
```

Calculated values
**Total magnetic moment**: 0.000 μB/f.u.

---

3) CaSmCd: relaxed, PBE.

Cell and atoms, written as POSCAR:
```
CaSmCd
1.0
3.732 0.000 0.000
0.000 3.732 0.000
-1.866 -1.866 6.797
Ca Sm Cd
1 1 1
Direct
0.021 0.021 0.041 Ca
0.310 0.310 0.620 Sm
0.669 0.669 0.339 Cd
```

Calculated values
**Total magnetic moment**: 0.300 μB/f.u.

---

Structures ranked by computed energy, the most stable listed first: 3), 2), 1).

---

1) CaSmCd: relaxed, PBE.

Cell and atoms, written as POSCAR:
```
CaSmCd
1.0
5.504 -0.001 0.000
-2.752 4.767 0.000
0.000 0.000 6.973
Ca Cd Sm
2 2 2
Direct
0.000 0.500 0.000 Ca
0.000 0.500 0.500 Ca
0.667 0.833 0.750 Cd
0.333 0.167 0.250 Cd
0.667 0.833 0.250 Sm
0.333 0.167 0.750 Sm
```

Calculated values
**Total magnetic moment**: 0.000 μB/f.u.

---

2) CaSmCd: relaxed, PBE.

Cell and atoms, written as POSCAR:
```
CaSmCd
1.0
5.280 0.000 0.000
2.640 4.572 0.000
2.640 1.524 8.747
Sm Cd Ca
2 2 2
Direct
0.371 0.371 0.887 Sm
0.629 0.629 0.113 Sm
0.748 0.748 0.757 Cd
0.252 0.252 0.243 Cd
0.123 0.123 0.630 Ca
0.877 0.877 0.370 Ca
```

Calculated values
**Total magnetic moment**: 0.000 μB/f.u.

---

Structures ranked by computed energy, the most stable listed first: 1), 2).

---

1) CaSmCd4: relaxed, PBE.

Cell and atoms, written as POSCAR:
```
CaSmCd4
1.0
3.413 0.000 0.987
2.063 6.129 -0.737
-0.418 -2.598 7.838
Ca Cd Sm
1 4 1
Direct
0.000 0.000 0.000 Ca
0.333 0.991 0.344 Cd
0.845 0.475 0.835 Cd
0.667 0.009 0.656 Cd
0.155 0.525 0.165 Cd
0.500 0.500 0.500 Sm
```

Calculated values
**Total magnetic moment**: 0.000 μB/f.u.

---

2) CaSmCd4: relaxed, PBE.

Cell and atoms, written as POSCAR:
```
CaSmCd4
1.0
-4.793 -2.082 -2.916
-0.837 -5.899 -0.554
-4.405 -2.694 3.025
Sm Cd Ca
1 4 1
Direct
0.000 0.000 0.000 Sm
0.626 0.626 0.123 Cd
0.124 0.626 0.626 Cd
0.626 0.123 0.626 Cd
0.626 0.626 0.626 Cd
0.250 0.250 0.250 Ca
```

Calculated values
**Total magnetic moment**: 0.000 μB/f.u.

---

Structures ranked by computed energy, the most stable listed first: 2), 1).

---

1) Ca2SmCd3: relaxed, PBE.

Cell and atoms, written as POSCAR:
```
Ca2SmCd3
1.0
-2.679 -1.290 -2.400
-1.087 -2.581 2.600
-7.546 7.564 4.355
Ca Cd Sm
2 3 1
Direct
0.500 0.500 0.834 Ca
0.500 0.500 0.166 Ca
0.000 0.000 0.664 Cd
0.000 0.000 0.000 Cd
0.000 0.000 0.336 Cd
0.500 0.500 0.500 Sm
```

Calculated values
**Total magnetic moment**: 0.170 μB/f.u.

---

2) Ca2SmCd3: relaxed, PBE.

Cell and atoms, written as POSCAR:
```
Ca2SmCd3
1.0
-2.648 -1.901 -4.310
-0.956 -2.083 4.894
-4.802 4.487 0.972
Cd Ca Sm
3 2 1
Direct
0.000 0.000 0.500 Cd
0.667 0.333 0.839 Cd
0.333 0.667 0.161 Cd
0.333 0.667 0.664 Ca
0.667 0.333 0.336 Ca
0.000 0.000 0.000 Sm
```

Calculated values
**Total magnetic moment**: 0.000 μB/f.u.

---

Structures ranked by computed energy, the most stable listed first: 2), 1).

---

1) CaTbSmCd: relaxed, PBE.

Cell and atoms, written as POSCAR:
```
CaTbSmCd
1.0
-1.418 0.376 3.327
3.299 -0.458 1.458
1.487 9.365 -0.425
Tb Sm Ca Cd
1 1 1 1
Direct
0.500 0.500 0.349 Tb
0.000 0.000 0.091 Sm
0.500 0.500 0.784 Ca
0.000 0.000 0.561 Cd
```

Calculated values
**Total magnetic moment**: 0.000 μB/f.u.

---

2) CaTbSmCd: relaxed, PBE.

Cell and atoms, written as POSCAR:
```
CaTbSmCd
1.0
-0.889 5.445 -0.629
-4.464 1.782 -2.782
-4.166 2.466 2.721
Tb Ca Sm Cd
1 1 1 1
Direct
0.250 0.250 0.250 Tb
0.500 0.500 0.500 Ca
0.750 0.750 0.750 Sm
0.000 0.000 0.000 Cd
```

Calculated values
**Total magnetic moment**: 0.000 μB/f.u.

---

Structures ranked by computed energy, the most stable listed first: 1), 2).

---

1) CaSmYCd: relaxed, PBE.

Cell and atoms, written as POSCAR:
```
CaSmYCd
1.0
-1.853 -3.237 -4.116
3.358 -1.317 -4.224
1.902 -5.193 -0.521
Cd Ca Sm Y
1 1 1 1
Direct
0.500 0.500 0.500 Cd
0.000 0.000 0.000 Ca
0.250 0.250 0.250 Sm
0.750 0.750 0.750 Y
```

Calculated values
**Total magnetic moment**: 0.000 μB/f.u.

---

2) CaSmYCd: relaxed, PBE.

Cell and atoms, written as POSCAR:
```
CaSmYCd
1.0
-1.663 -1.506 2.861
-0.974 -2.834 -2.058
8.059 -4.465 2.335
Y Sm Ca Cd
1 1 1 1
Direct
0.500 0.500 0.351 Y
0.000 0.000 0.090 Sm
0.500 0.500 0.783 Ca
0.000 0.000 0.560 Cd
```

Calculated values
**Total magnetic moment**: 0.001 μB/f.u.

---

Structures ranked by computed energy, the most stable listed first: 2), 1).

---

1) Ca3CdSn2: relaxed, PBE.

Cell and atoms, written as POSCAR:
```
Ca3CdSn2
1.0
-1.211 3.470 -0.416
-2.795 -0.410 4.725
8.065 3.034 1.826
Ca Sn Cd
3 2 1
Direct
0.500 0.171 0.342 Ca
0.500 0.829 0.658 Ca
0.500 0.500 0.000 Ca
0.000 0.342 0.684 Sn
0.000 0.658 0.316 Sn
0.000 0.000 0.000 Cd
```

Calculated values
**Total magnetic moment**: 0.000 μB/f.u.

---

2) Ca3CdSn2: relaxed, PBE.

Cell and atoms, written as POSCAR:
```
Ca3CdSn2
1.0
3.664 0.000 0.000
0.000 3.664 0.000
0.000 0.000 12.642
Ca Cd Sn
3 1 2
Direct
0.000 0.000 0.000 Ca
0.000 0.000 0.339 Ca
0.000 0.000 0.661 Ca
0.500 0.500 0.500 Cd
0.500 0.500 0.826 Sn
0.500 0.500 0.174 Sn
```

Calculated values
**Total magnetic moment**: 0.000 μB/f.u.

---

Structures ranked by computed energy, the most stable listed first: 1), 2).